Record 1
The following is a PBE calculation of an optimized crystal structure of CsCu2Au2, from the Alexandria database.

Output
space-group type: I4/mmm
E above lowest polymorph: 0.0 meV/atom
formation energy from the elements: 3.10 kcal/mol of atoms

a b c (Å): 6.4298 6.4298 6.4298
angles (deg): 137.57 137.57 61.56
Positions (direct):
Cs1 0.0000 0.0000 0.0000
Cu1 0.2500 0.7500 0.5000
Cu2 0.7500 0.2500 0.5000
Au1 0.3601 0.3601 0.0000
Au2 0.6399 0.6399 0.0000

=====

Record 2
The following is a PBE calculation of an optimized crystal structure of Ce2PrSm3Tm6, from the Alexandria database.

Output
space-group type: C2/m
formation energy from the elements: 1.12 kcal/mol of atoms

a b c (Å): 6.1519 6.1519 11.6477
angles (deg): 95.05 95.05 119.99
Positions (direct):
Ce1 0.1667 0.8333 0.0000
Ce2 0.8333 0.1667 0.0000
Pr1 0.5000 0.5000 0.0000
Sm1 0.0000 0.0000 0.5000
Sm2 0.3339 0.6661 0.5000
Sm3 0.6661 0.3339 0.5000
Tm1 0.0811 0.4169 0.7515
Tm2 0.2472 0.2472 0.2485
Tm3 0.4169 0.0811 0.7515
Tm4 0.5831 0.9189 0.2485
Tm5 0.7528 0.7528 0.7515
Tm6 0.9189 0.5831 0.2485

=====

Record 3
The following is a PBE calculation of an optimized crystal structure of LaPt2Pb2, from the Alexandria database.

Output
space-group type: P2_1/m
E above lowest polymorph: 0.0 meV/atom
formation energy from the elements: -14.45 kcal/mol of atoms

a b c (Å): 5.0524 4.8625 10.5765
angles (deg): 90.00 94.16 90.00
Positions (direct):
La1 0.1928 0.2500 0.1653
La2 0.8072 0.7500 0.8347
Pt1 0.2378 0.7500 0.3418
Pt2 0.3338 0.7500 0.9660
Pt3 0.6662 0.2500 0.0340
Pt4 0.7622 0.2500 0.6582
Pb1 0.2518 0.2500 0.5034
Pb2 0.2840 0.2500 0.8121
Pb3 0.7160 0.7500 0.1879
Pb4 0.7482 0.7500 0.4966

=====

Record 4
The following is a PBE calculation of an optimized crystal structure of BaAl3Br12, from the Alexandria database.

Output
space-group type: R3c
energy relative to the elements, uncorrected: -1217 meV per atom

a b c (Å): 13.7924 13.7924 13.7924
angles (deg): 52.44 52.44 52.44
Positions (direct):
Ba1 0.0000 0.0000 0.0000
Ba2 0.5000 0.5000 0.5000
Al1 0.1256 0.3253 0.7141
Al2 0.2141 0.8253 0.6256
Al3 0.3253 0.7141 0.1256
Al4 0.6256 0.2141 0.8253
Al5 0.7141 0.1256 0.3253
Al6 0.8253 0.6256 0.2141
Br1 0.0327 0.5329 0.0770
Br2 0.0329 0.5327 0.5770
Br3 0.0770 0.0327 0.5329
Br4 0.1581 0.6741 0.1684
Br5 0.1684 0.1581 0.6741
Br6 0.1741 0.6581 0.6684
Br7 0.1881 0.7960 0.8252
Br8 0.2910 0.9351 0.9819
Br9 0.2960 0.6881 0.3252
Br10 0.3252 0.2960 0.6881
Br11 0.4351 0.7910 0.4819
Br12 0.4819 0.4351 0.7910
Br13 0.5329 0.0770 0.0327
Br14 0.5327 0.5770 0.0329
Br15 0.5770 0.0329 0.5327
Br16 0.6581 0.6684 0.1741
Br17 0.6684 0.1741 0.6581
Br18 0.6741 0.1684 0.1581
Br19 0.6881 0.3252 0.2960
Br20 0.7910 0.4819 0.4351
Br21 0.7960 0.8252 0.1881
Br22 0.8252 0.1881 0.7960
Br23 0.9351 0.9819 0.2910
Br24 0.9819 0.2910 0.9351

=====

Spin magnetization
In order: 0.000 0.155 0.000 0.070
Unit: μB/atom